The following is a DFT calculation (GGA-PBE) of a geometry-optimized BeAl2ZnRu structure.

a = 4.420 Å, b = 4.624 Å, c = 4.420 Å
α = 90.00°, β = 90.00°, γ = 90.00°
Positions (direct):
Ru 0.000 0.500 0.000
Zn 0.000 0.000 0.000
Al 0.000 0.000 0.500
Al 0.500 0.000 0.000
Be 0.500 0.500 0.500

**Total DFT energy (no corrections)**: -3.23 eV/atom
**Symmetry**: P4/mmm, No. 123
**M_tot**: 0.00 μB/f.u.

The following is a DFT calculation (GGA-PBE) of a geometry-optimized Ca3Te5S12 structure.

a = 14.140 Å, b = 14.140 Å, c = 14.140 Å
α = 109.47°, β = 109.47°, γ = 109.47°
Positions (direct):
Ca 0.750 0.375 0.125
Ca 0.875 0.750 0.125
Ca 0.375 0.750 0.625
Ca 0.250 0.125 0.375
Ca 0.875 0.125 0.250
Ca 0.375 0.625 0.250
Ca 0.625 0.375 0.750
Ca 0.125 0.875 0.750
Ca 0.750 0.875 0.625
Ca 0.625 0.250 0.375
Ca 0.125 0.250 0.875
Ca 0.250 0.625 0.875
Te 0.125 0.375 0.250
Te 0.000 0.500 0.000
Te 0.000 0.000 0.000
Te 0.375 0.250 0.125
Te 0.500 0.000 0.500
Te 0.500 0.500 0.000
Te 0.125 0.750 0.375
Te 0.750 0.125 0.875
Te 0.750 0.625 0.375
Te 0.375 0.125 0.750
Te 0.625 0.875 0.250
Te 0.500 0.500 0.500
Te 0.500 0.000 0.000
Te 0.000 0.000 0.500
Te 0.250 0.375 0.625
Te 0.250 0.875 0.125
Te 0.000 0.500 0.500
Te 0.875 0.250 0.625
Te 0.625 0.750 0.875
Te 0.875 0.625 0.750
S 0.713 0.136 0.046
S 0.333 0.546 0.410
S 0.954 0.364 0.287
S 0.546 0.213 0.136
S 0.577 0.713 0.667
S 0.954 0.590 0.167
S 0.333 0.787 0.423
S 0.090 0.923 0.136
S 0.590 0.954 0.667
S 0.713 0.577 0.167
S 0.787 0.454 0.364
S 0.833 0.910 0.046
S 0.136 0.713 0.546
S 0.364 0.410 0.077
S 0.077 0.910 0.364
S 0.423 0.136 0.590
S 0.077 0.167 0.213
S 0.454 0.667 0.090
S 0.833 0.923 0.287
S 0.136 0.423 0.090
S 0.364 0.954 0.787
S 0.590 0.636 0.423
S 0.910 0.833 0.546
S 0.787 0.333 0.923
S 0.410 0.364 0.577
S 0.090 0.167 0.454
S 0.213 0.667 0.077
S 0.167 0.077 0.713
S 0.636 0.046 0.213
S 0.864 0.577 0.910
S 0.546 0.333 0.910
S 0.577 0.864 0.410
S 0.923 0.833 0.787
S 0.923 0.090 0.636
S 0.864 0.287 0.454
S 0.167 0.090 0.954
S 0.636 0.590 0.923
S 0.410 0.046 0.333
S 0.287 0.423 0.833
S 0.213 0.546 0.636
S 0.910 0.077 0.864
S 0.667 0.213 0.577
S 0.454 0.787 0.864
S 0.046 0.410 0.833
S 0.423 0.287 0.333
S 0.046 0.636 0.713
S 0.667 0.454 0.590
S 0.287 0.864 0.954

**Total DFT energy (no corrections)**: -3.96 eV/atom
**Symmetry**: Ia-3d, No. 230
**M_tot**: 0.00 μB/f.u.

The following is a DFT calculation (GGA-PBE) of a geometry-optimized Er11Al9Cu4 structure.

a = 3.548 Å, b = 12.562 Å, c = 12.562 Å
α = 112.78°, β = 90.00°, γ = 90.00°
Positions (direct):
Er 0.000 0.589 0.936
Er 0.000 0.411 0.064
Er 0.000 0.936 0.589
Er 0.000 0.064 0.411
Er 0.000 0.629 0.371
Er 0.000 0.371 0.629
Er 0.000 0.838 0.162
Er 0.000 0.162 0.838
Er 0.000 0.000 0.000
Er 0.000 0.694 0.694
Er 0.000 0.306 0.306
Al 0.500 0.632 0.164
Al 0.500 0.368 0.836
Al 0.500 0.164 0.632
Al 0.500 0.836 0.368
Al 0.500 0.783 0.922
Al 0.500 0.217 0.078
Al 0.500 0.922 0.783
Al 0.500 0.078 0.217
Al 0.500 0.500 0.500
Cu 0.500 0.552 0.755
Cu 0.500 0.448 0.245
Cu 0.500 0.755 0.552
Cu 0.500 0.245 0.448

**Total DFT energy (no corrections)**: -4.57 eV/atom
**Symmetry**: Cmmm, No. 65
**M_tot**: 0.00 μB/f.u.

The following is a DFT calculation (GGA-PBE) of a geometry-optimized Ho2Cd5Ag4 structure.

a = 5.775 Å, b = 5.481 Å, c = 9.845 Å
α = 81.11°, β = 72.94°, γ = 58.21°
Positions (direct):
Ho 0.882 0.000 0.236
Ho 0.118 0.000 0.764
Cd 0.500 0.000 0.000
Cd 0.000 0.500 0.000
Cd 0.500 0.500 0.000
Cd 0.250 0.500 0.500
Cd 0.750 0.500 0.500
Ag 0.472 0.316 0.739
Ag 0.528 0.684 0.261
Ag 0.211 0.316 0.261
Ag 0.789 0.684 0.739

**Total DFT energy (no corrections)**: -2.40 eV/atom
**Symmetry**: Fmmm, No. 69
**M_tot**: 0.00 μB/f.u.